Entry 1:
First-principles (PBE) data for a relaxed CaMn2Sb crystal, as listed in Alexandria via LeMat-Bulk.

Calculated values
magnetic moment: 7.7 μB per cell
formation energy (no corrections): 0.3164 eV per atom
calculated density: 5.2 Mg/m³

POSCAR file:
```
CaMn2Sb
1.0
-1.5164 3.8674 4.2786
-3.8110 -0.8711 -4.5033
-2.5675 -1.2848 1.3641
Ca Mn Sb
1 2 1
direct
0.0000 0.5000 0.5000
0.0000 0.0000 0.0000
0.5000 0.5000 0.0000
0.5000 0.0000 0.5000
```

Entry 2:
First-principles (PBE) data for a relaxed CaMnSb2 crystal, as listed in Alexandria via LeMat-Bulk.

Calculated values
magnetic moment: 3.6 μB per cell
formation energy (no corrections): -0.1678 eV per atom
calculated density: 5.8 Mg/m³

POSCAR file:
```
CaMnSb2
1.0
-2.3849 1.2260 2.2817
-2.1198 -2.7062 -0.7616
3.3107 -4.2028 5.7189
Sb Ca Mn
2 1 1
direct
0.0000 0.0000 0.5383
0.0000 0.0000 0.9617
0.5000 0.5000 0.2500
0.5000 0.5000 0.7500
```

Entry 3:
First-principles (PBE) data for a relaxed CaMn2Sb crystal, as listed in Alexandria via LeMat-Bulk.

Calculated values
magnetic moment: 7.4 μB per cell
formation energy (no corrections): 0.1615 eV per atom
calculated density: 5.1 Mg/m³

POSCAR file:
```
CaMn2Sb
1.0
4.3432 0.0000 0.0000
0.0000 3.3828 -0.0130
0.0000 1.7014 6.0118
Mn Sb Ca
2 1 1
direct
0.0000 0.0219 0.0798
0.5000 0.4533 0.2164
0.0000 0.3274 0.4708
0.5000 0.6974 0.7329
```

Entry 4:
First-principles (PBE) data for a relaxed CaMn2Sb crystal, as listed in Alexandria via LeMat-Bulk.

Calculated values
magnetic moment: 12.8 μB per cell
formation energy (no corrections): 0.3235 eV per atom
calculated density: 4.4 Mg/m³

POSCAR file:
```
CaMn2Sb
1.0
-3.7973 1.2116 -2.5228
1.2023 -3.1336 -3.3147
-6.2906 -7.5032 1.4548
Sb Mn Ca
2 4 2
direct
0.7500 0.2500 0.5000
0.0000 0.0000 0.0000
0.8431 0.1250 0.2500
0.3750 0.1569 0.7500
0.8750 0.0931 0.7500
0.9069 0.6250 0.2500
0.5000 0.5000 0.0000
0.2500 0.7500 0.5000
```

magnetic moment of number 3 (CaMn2Sb)? 7.4 μB per cell